No. 1
Computed, not measured: Li2SmHg2 after structural relaxation at the GGA-PBE level of DFT.

Cell: 4.0348 4.0348 13.8905 Å, 90.00 90.00 90.00°
Space group I4/mmm (No. 139)
Asymmetric unit:
1 Li 0.0000 0.5000 0.2500 [4 per cell]
2 Sm 0.0000 0.0000 0.0000 [2 per cell]
3 Hg 0.0000 0.0000 0.3879 [4 per cell]

Formation enthalpy at 0 K (meV/atom): -349
Crystal system: tetragonal
M_tot (μB per cell): 0.00
Electronic total energy (eV/atom): -2.179

=====

No. 2
Computed, not measured: Pr8PS6 after structural relaxation at the GGA-PBE level of DFT.

Cell: 10.3848 10.3848 4.2181 Å, 90.00 90.00 120.00°
Space group P-3 (No. 147)
Asymmetric unit:
1 Pr 0.0309 0.7097 0.2591 [6 per cell]
2 Pr 0.3333 0.6667 0.7476 [2 per cell]
3 P 0.0000 0.0000 0.5000 [1 per cell]
4 S 0.1319 0.4808 0.2466 [6 per cell]

Crystal system: trigonal
Formation energy from raw total energies (eV/atom): -1.52
M_tot (μB per cell): 0.00
Electronic total energy (eV/atom): -6.082